12
Lattice="4.358 0.000 0.000 0.000 8.792 0.290 -2.179 -2.559 9.192" Properties=species:S:1:pos:R:3 comment="Pr6Ge3Se2I PBE-GGA optimized geometry" raw_formation_energy_mev_per_atom=-1266.6 spacegroup="C2/m (12)" e_tot_ev_per_atom=-5.521 pbc="T T T"
Pr 0.000 6.425 6.213
Pr 2.179 4.341 3.202
Pr 2.179 -0.191 3.269
Pr 2.179 -0.133 9.246
Pr 0.000 6.367 0.236
Pr 0.000 1.892 6.280
Ge 2.179 4.396 0.145
Ge 2.179 -0.250 6.228
Ge 0.000 6.483 3.255
Se 2.179 4.161 6.312
Se 0.000 2.073 3.170
I 2.179 0.000 0.000

12
Lattice="-3.633 -2.334 -0.186 2.126 -2.661 -8.110 5.816 -5.487 5.471" Properties=species:S:1:pos:R:3 comment="Pr6Ge2Se3I PBE-GGA optimized geometry" raw_formation_energy_mev_per_atom=-1417.3 spacegroup="C2/m (12)" e_tot_ev_per_atom=-5.577 pbc="T T T"
Pr 4.475 -6.663 -3.792
Pr 0.767 -4.958 -2.973
Pr -0.166 -3.820 0.966
Pr 0.664 -0.857 -2.205
Pr 3.645 -9.626 -0.621
Pr 3.542 -5.525 0.147
Ge 2.260 -7.366 -1.917
Ge 2.049 -3.117 -0.909
Se -0.754 -2.498 -4.148
Se 1.247 -6.122 2.243
Se 3.062 -4.361 -5.069
I -1.816 -1.167 -0.093

16
Lattice="-2.343 6.714 -5.045 -8.844 -1.968 1.488 5.164 1.325 6.900" Properties=species:S:1:pos:R:3 comment="Pr8GeSe3I4 PBE-GGA optimized geometry" raw_formation_energy_mev_per_atom=-1299.8 spacegroup="R-3m (166)" e_tot_ev_per_atom=-5.019 pbc="T T T"
Pr -1.714 1.464 6.513
Pr -4.298 0.801 3.061
Pr -0.577 1.917 2.819
Pr -2.886 4.823 3.989
Pr -3.137 1.248 -0.647
Pr -5.446 4.154 0.523
Pr -1.725 5.271 0.281
Pr -4.309 4.608 -3.171
Ge -4.422 -0.984 0.744
Se -5.594 2.373 -1.779
Se -3.012 3.036 1.671
Se -1.840 -0.322 4.194
I -1.171 3.357 -2.523
I 1.411 4.020 0.927
I 0.000 0.000 0.000
I 2.582 0.663 3.450